Density functional theory data (PBE+U) for a relaxed SmCoAsO crystal.

Properties
Calculated density   7.83 g/cm3
Crystal system   orthorhombic
Distance to the lowest polymorph of the same formula   0.276 eV per atom
Raw total energy   -6.188 eV/atom

Cell: 4.3135 4.1606 7.0947 Å, 90.00 90.00 90.00°
With the nearest neighbours (Å) after each atom.
Space group Pmc2_1 (No. 26)
Asymmetric unit:
Sm: 0.0000 0.2463 0.0000  3 O 2.36-2.40
Co: 0.5000 0.2555 0.3479  2 O 2.16, 3 As 2.34-2.41
As: 0.5000 0.2452 0.6778  3 Co 2.34-2.41
O: 0.0000 0.2543 0.3330  2 Co 2.16, 3 Sm 2.36-2.40